This record from Alexandria via LeMat-Bulk describes a relaxed structure of BaCd2Au2. The functional is PBE-GGA.

Lattice parameters (Å, degrees): 8.4719 8.4719 3.5543 90.00 90.00 90.00
Space group P4/mbm (No. 127)
Asymmetric unit:
Ba 0.0000 0.0000 0.0000
Cd 0.1461 0.3539 0.5000
Au 0.1407 0.6407 0.0000

Polymorph energy (0 for the lowest one), eV/atom: 0.257
Energy of formation, eV per atom: -0.25



This record from Alexandria via LeMat-Bulk describes a relaxed structure of Tb3Ho6Er2Pu. The functional is PBE-GGA.

Lattice parameters (Å, degrees): 6.0947 10.5560 11.6361 90.00 100.09 90.00
Space group C2/m (No. 12)
Asymmetric unit:
Tb 0.0000 0.0000 0.0000
Tb 0.0000 0.3327 0.0000
Ho 0.2473 0.3353 0.7471
Ho 0.2473 0.5000 0.2528
Er 0.0000 0.1666 0.5000
Pu 0.0000 0.5000 0.5000

Energy of formation, eV per atom: 0.04



This record from Alexandria via LeMat-Bulk describes a relaxed structure of Rb2LuSi4O10F. The functional is PBE-GGA.

Lattice parameters (Å, degrees): 11.8260 8.6095 11.9799 90.00 111.74 90.00
Space group P2_1/m (No. 11)
Asymmetric unit:
Rb 0.0014 0.2500 0.0292
Rb 0.0799 0.7500 0.5781
Rb 0.4456 0.2500 0.0492
Rb 0.4652 0.7500 0.5332
Lu 0.2939 0.5036 0.2075
Si 0.0207 0.5682 0.2538
Si 0.2272 0.0668 0.4617
Si 0.2422 0.5660 0.8831
Si 0.3867 0.0623 0.7282
O 0.0248 0.2500 0.7534
O 0.0962 0.5282 0.3985
O 0.0991 0.5309 0.1734
O 0.1028 0.5406 0.7835
O 0.1868 0.2500 0.4624
O 0.2562 0.5196 0.0162
O 0.2736 0.7500 0.8673
O 0.2773 0.0028 0.6023
O 0.3218 0.0357 0.3977
O 0.3386 0.0327 0.8398
O 0.4013 0.2500 0.7177
O 0.4887 0.0277 0.2498
F 0.2721 0.2500 0.1796
F 0.3179 0.7500 0.2399

E_form (uncorrected), meV/atom: -2920



This record from Alexandria via LeMat-Bulk describes a relaxed structure of TeMo3. The functional is PBE-GGA.

Lattice parameters (Å, degrees): 3.1151 4.2205 5.3362 90.00 90.00 90.00
Space group Pmmm (No. 47)
Asymmetric unit:
Te 0.0000 0.0000 0.0000
Mo 0.0000 0.0000 0.5000
Mo 0.5000 0.5000 0.2740

Polymorph energy (0 for the lowest one), eV/atom: 0.079
E_form (uncorrected), meV/atom: 382



This record from Alexandria via LeMat-Bulk describes a relaxed structure of ZrBe2Pb. The functional is PBE-GGA.

Lattice parameters (Å, degrees): 4.4249 4.9670 6.3221 90.00 90.00 90.00
Space group Cmmm (No. 65)
Asymmetric unit:
Zr 0.0000 0.0000 0.0000
Be 0.0000 0.5000 0.2382
Pb 0.0000 0.0000 0.5000

Energy of formation, eV per atom: 0.36



This record from Alexandria via LeMat-Bulk describes a relaxed structure of Ba2CaAs. The functional is PBE-GGA.

Lattice parameters (Å, degrees): 4.0255 4.0255 10.3415 90.00 90.00 90.00
Space group P4mm (No. 99)
Asymmetric unit:
Ba 0.0000 0.0000 0.0000
Ba 0.5000 0.5000 0.3761
Ca 0.0000 0.0000 0.6873
As 0.5000 0.5000 0.8105

Energy of formation, eV per atom: -0.52



This record from Alexandria via LeMat-Bulk describes a relaxed structure of Mg2Al3Au2. The functional is PBE-GGA.

Lattice parameters (Å, degrees): 9.6641 4.2098 6.9591 90.00 113.71 90.00
Space group C2/m (No. 12)
Asymmetric unit:
Mg 0.1538 0.0000 0.2974
Al 0.0000 0.5000 0.5000
Al 0.1173 0.5000 0.9432
Au 0.1423 0.0000 0.7157

Energy of formation, eV per atom: -0.38



This record from Alexandria via LeMat-Bulk describes a relaxed structure of SmAl4Pd2. The functional is PBE-GGA.

Lattice parameters (Å, degrees): 17.3975 4.3455 6.6214 90.00 90.00 90.00
Space group Pnma (No. 62)
Asymmetric unit:
Sm 0.1386 0.2500 0.0099
Al 0.0356 0.7500 0.8292
Al 0.0712 0.2500 0.4938
Al 0.1866 0.7500 0.3192
Al 0.1933 0.7500 0.7226
Pd 0.0376 0.7500 0.2450
Pd 0.2157 0.2500 0.5232

Polymorph energy (0 for the lowest one), eV/atom: 0.000
Energy of formation, eV per atom: -0.76



This record from Alexandria via LeMat-Bulk describes a relaxed structure of Li3P. The functional is PBE-GGA.

Lattice parameters (Å, degrees): 7.4224 7.2864 4.2475 90.00 90.00 90.00
Space group Cmcm (No. 63)
Asymmetric unit:
Li 0.0000 0.0832 0.2500
Li 0.1760 0.3786 0.2500
P 0.0000 0.2620 0.7500

Energy of formation, eV per atom: -0.62



This record from Alexandria via LeMat-Bulk describes a relaxed structure of NiTePAu2. The functional is PBE-GGA.

Lattice parameters (Å, degrees): 4.8623 4.8623 4.6445 90.00 90.00 90.00
Space group P4/mmm (No. 123)
Asymmetric unit:
Ni 0.0000 0.0000 0.0000
Te 0.0000 0.0000 0.5000
P 0.5000 0.5000 0.5000
Au 0.0000 0.5000 0.0000

E_form (uncorrected), meV/atom: 769



This record from Alexandria via LeMat-Bulk describes a relaxed structure of Er2PuTc2C4. The functional is PBE-GGA.

Lattice parameters (Å, degrees): 13.0924 3.4131 6.0591 90.00 110.20 90.00
Space group C2/m (No. 12)
Asymmetric unit:
Er 0.1353 0.0000 0.0319
Pu 0.0000 0.0000 0.5000
Tc 0.1761 0.5000 0.4903
C 0.0261 0.5000 0.2338
C 0.2277 0.0000 0.7300

Energy of formation, eV per atom: 0.00



no.,N(E_F) (states/eV per cell),magnetization (μB per cell)
1,4.3,0.00
2,48.0,13.00
3,0.0,0.00
4,3.1,0.00
5,3.2,0.00
6,3.0,0.80
7,4.5,0.00
8,11.5,0.00
9,0.2,0.00
10,4.1,0.00
11,18.5,8.62